{"formula": "La2Zn3CuPt4", "functional": "PBE-GGA", "state": "relaxed", "cell": [[4.1989, 0.0000, 0.0000], [0.0000, 4.1989, 0.0000], [0.0000, 0.0000, 10.9987]], "species": ["La", "La", "Zn", "Zn", "Zn", "Cu", "Pt", "Pt", "Pt", "Pt"], "fractional_positions": [[0.0000, 0.5000, 0.2482], [0.5000, 0.0000, 0.7518], [0.0000, 0.5000, 0.8687], [0.5000, 0.0000, 0.1313], [0.5000, 0.5000, 0.5000], [0.0000, 0.0000, 0.5000], [0.0000, 0.0000, 0.0000], [0.0000, 0.5000, 0.6405], [0.5000, 0.0000, 0.3595], [0.5000, 0.5000, 0.0000]], "spacegroup": "P-4m2 (115)", "n_ef_per_ev_fu": 3.873, "formation_enthalpy_0k_ev_per_fu": -7.55}

---

{"formula": "VGaTc2", "functional": "PBE-GGA", "state": "relaxed", "cell": [[-1.8697, 1.8697, 9.0833], [1.8697, -1.8697, 9.0833], [1.8697, 1.8697, -9.0833]], "species": ["V", "V", "Ga", "Ga", "Tc", "Tc", "Tc", "Tc"], "fractional_positions": [[0.0000, 0.0000, 0.0000], [0.7500, 0.2500, 0.5000], [0.2500, 0.7500, 0.5000], [0.5000, 0.5000, 0.0000], [0.1719, 0.6250, 0.0469], [0.3750, 0.4219, 0.5469], [0.5781, 0.1250, 0.9531], [0.8750, 0.8281, 0.4531]], "spacegroup": "I-42d (122)", "relative_energy_ev_per_fu": 2.62, "n_ef_per_ev_fu": 4.794, "formation_enthalpy_0k_ev_per_fu": 1.66}

---

{"formula": "Na3AsAu", "functional": "PBE-GGA", "state": "relaxed", "cell": [[6.1630, 0.0000, 0.0000], [0.0000, 8.9528, 0.0000], [-1.6142, 0.0000, 9.9476]], "species": ["Na", "Na", "Na", "Na", "Na", "Na", "Na", "Na", "Na", "Na", "Na", "Na", "As", "As", "As", "As", "Au", "Au", "Au", "Au"], "fractional_positions": [[0.2024, 0.0770, 0.1303], [0.2024, 0.4230, 0.6303], [0.2123, 0.7115, 0.9236], [0.2123, 0.7885, 0.4236], [0.2252, 0.5051, 0.1880], [0.2252, 0.9949, 0.6880], [0.7748, 0.0051, 0.3120], [0.7748, 0.4949, 0.8120], [0.7877, 0.2115, 0.5764], [0.7877, 0.2885, 0.0764], [0.7976, 0.5770, 0.3697], [0.7976, 0.9230, 0.8697], [0.0529, 0.2137, 0.8553], [0.0529, 0.2863, 0.3553], [0.9471, 0.7137, 0.6447], [0.9471, 0.7863, 0.1447], [0.3511, 0.1049, 0.4416], [0.3511, 0.3951, 0.9416], [0.6489, 0.6049, 0.0584], [0.6489, 0.8951, 0.5584]], "spacegroup": "P2_1/c (14)", "relative_energy_ev_per_fu": 0.00, "formation_enthalpy_0k_ev_per_fu": -1.84}

---

{"formula": "SmZn5Au7", "functional": "PBE-GGA", "state": "relaxed", "cell": [[-2.6670, 4.7147, 4.5934], [2.6670, -4.7147, 4.5934], [2.6670, 4.7147, -4.5934]], "species": ["Sm", "Zn", "Zn", "Zn", "Zn", "Zn", "Au", "Au", "Au", "Au", "Au", "Au", "Au"], "fractional_positions": [[0.0000, 0.0000, 0.0000], [0.4862, 0.4882, 0.5011], [0.4862, 0.9850, 0.9980], [0.7555, 0.2555, 0.5000], [0.9870, 0.4882, 0.0020], [0.9870, 0.9850, 0.4989], [0.1715, 0.4797, 0.6918], [0.2202, 0.7202, 0.5000], [0.3333, 0.9952, 0.3381], [0.3418, 0.3418, 0.0000], [0.6571, 0.9952, 0.6619], [0.6669, 0.6669, 0.0000], [0.7879, 0.4797, 0.3082]], "spacegroup": "Imm2 (44)", "n_ef_per_ev_fu": 5.124, "formation_enthalpy_0k_ev_per_fu": -4.60}

---

{"formula": "Ba3CeAu2S6", "functional": "PBE-GGA", "state": "relaxed", "cell": [[7.6086, 0.0000, 0.0000], [-3.8043, 6.5892, 0.0000], [0.0000, 0.0000, 7.9513]], "species": ["Ba", "Ba", "Ba", "Ce", "Au", "Au", "S", "S", "S", "S", "S", "S"], "fractional_positions": [[0.0000, 0.0000, 0.0000], [0.3333, 0.6667, 0.6088], [0.6667, 0.3333, 0.3912], [0.0000, 0.0000, 0.5000], [0.3333, 0.6667, 0.1893], [0.6667, 0.3333, 0.8107], [0.1612, 0.3224, 0.2946], [0.1612, 0.8388, 0.2946], [0.3224, 0.1612, 0.7054], [0.6776, 0.8388, 0.2946], [0.8388, 0.1612, 0.7054], [0.8388, 0.6776, 0.7054]], "e_form_raw_ev_per_atom": -1.25, "spacegroup": "P-3m1 (164)"}

---

{"formula": "Hf6FeCo2", "functional": "PBE-GGA", "state": "relaxed", "cell": [[5.5111, 0.0000, 0.0000], [0.0000, 6.7564, 0.0000], [-5.3933, 0.0000, 8.8869]], "species": ["Hf", "Hf", "Hf", "Hf", "Hf", "Hf", "Hf", "Hf", "Hf", "Hf", "Hf", "Hf", "Fe", "Fe", "Co", "Co", "Co", "Co"], "fractional_positions": [[0.0804, 0.0589, 0.2466], [0.0804, 0.4411, 0.7466], [0.2096, 0.7061, 0.0662], [0.2096, 0.7939, 0.5662], [0.3926, 0.1552, 0.0555], [0.3926, 0.3448, 0.5555], [0.6074, 0.6552, 0.4445], [0.6074, 0.8448, 0.9445], [0.7904, 0.2061, 0.4338], [0.7904, 0.2939, 0.9338], [0.9196, 0.5589, 0.2534], [0.9196, 0.9411, 0.7534], [0.5000, 0.0000, 0.5000], [0.5000, 0.5000, 0.0000], [0.3222, 0.1048, 0.7255], [0.3222, 0.3952, 0.2255], [0.6778, 0.6048, 0.7745], [0.6778, 0.8952, 0.2745]], "spacegroup": "P2_1/c (14)", "n_ef_per_ev_fu": 9.253, "formation_enthalpy_0k_ev_per_fu": -1.27}

---

{"formula": "CeAlIr", "functional": "PBE-GGA", "state": "relaxed", "cell": [[4.3976, 0.0000, 0.0000], [-2.1988, 3.8084, 0.0000], [0.0000, 0.0000, 3.7159]], "species": ["Ce", "Al", "Ir"], "fractional_positions": [[0.0000, 0.0000, 0.0000], [0.3333, 0.6667, 0.5000], [0.6667, 0.3333, 0.5000]], "spacegroup": "P-6m2 (187)", "n_ef_per_ev_fu": 4.654, "formation_enthalpy_0k_ev_per_fu": -2.07}

---

{"formula": "Tb2DyEr12", "functional": "PBE-GGA", "state": "relaxed", "cell": [[3.5258, -5.6084, 0.0000], [3.5258, 5.6084, 0.0000], [-2.6899, 0.0000, 23.4976]], "species": ["Tb", "Tb", "Tb", "Tb", "Dy", "Dy", "Er", "Er", "Er", "Er", "Er", "Er", "Er", "Er", "Er", "Er", "Er", "Er", "Er", "Er", "Er", "Er", "Er", "Er", "Er", "Er", "Er", "Er", "Er", "Er"], "fractional_positions": [[0.2035, 0.2035, 0.2147], [0.2840, 0.2840, 0.7875], [0.7160, 0.7160, 0.2125], [0.7965, 0.7965, 0.7853], [0.2544, 0.2544, 0.5213], [0.7456, 0.7456, 0.4787], [0.0118, 0.4994, 0.7000], [0.0306, 0.0306, 0.3625], [0.0966, 0.0966, 0.9294], [0.0990, 0.6038, 0.9435], [0.1484, 0.5879, 0.4350], [0.2007, 0.6892, 0.1755], [0.3108, 0.7993, 0.8245], [0.3962, 0.9010, 0.0565], [0.4076, 0.4076, 0.0730], [0.4121, 0.8516, 0.5650], [0.4871, 0.4871, 0.6565], [0.4994, 0.0118, 0.7000], [0.5006, 0.9882, 0.3000], [0.5129, 0.5129, 0.3435], [0.5879, 0.1484, 0.4350], [0.5924, 0.5924, 0.9270], [0.6038, 0.0990, 0.9435], [0.6892, 0.2007, 0.1755], [0.7993, 0.3108, 0.8245], [0.8516, 0.4121, 0.5650], [0.9010, 0.3962, 0.0565], [0.9034, 0.9034, 0.0706], [0.9694, 0.9694, 0.6375], [0.9882, 0.5006, 0.3000]], "spacegroup": "C2/m (12)", "n_ef_per_ev_fu": 24.095, "formation_enthalpy_0k_ev_per_fu": 1.41}

---

{"formula": "Hg3W", "functional": "PBE-GGA", "state": "relaxed", "cell": [[4.2931, 0.0000, 0.0000], [0.0000, 4.2931, 0.0000], [0.0000, 0.0000, 4.2931]], "species": ["Hg", "Hg", "Hg", "W"], "fractional_positions": [[0.0000, 0.0000, 0.5000], [0.0000, 0.5000, 0.0000], [0.5000, 0.0000, 0.0000], [0.5000, 0.5000, 0.5000]], "spacegroup": "Pm-3m (221)", "relative_energy_ev_per_fu": 1.48, "n_ef_per_ev_fu": 2.435, "formation_enthalpy_0k_ev_per_fu": 3.29}

---

{"formula": "LiMg2CdSi", "functional": "PBE-GGA", "state": "relaxed", "cell": [[5.0366, 0.0000, 0.0000], [0.0000, 5.0366, 0.0000], [0.0000, 0.0000, 4.9119]], "species": ["Li", "Mg", "Mg", "Cd", "Si"], "fractional_positions": [[0.0000, 0.0000, 0.0000], [0.0000, 0.5000, 0.5000], [0.5000, 0.0000, 0.5000], [0.5000, 0.5000, 0.0000], [0.0000, 0.0000, 0.5000]], "e_form_raw_ev_per_atom": 0.10, "spacegroup": "P4/mmm (123)", "n_ef_per_ev_fu": 2.588}

---

{"formula": "Sc2UO", "functional": "PBE-GGA", "state": "relaxed", "cell": [[1.5249, 0.8804, 8.7054], [-1.5249, 0.8804, 8.7054], [0.0000, -1.7608, 8.7054]], "species": ["Sc", "Sc", "U", "O"], "fractional_positions": [[0.1162, 0.1162, 0.1162], [0.8838, 0.8838, 0.8838], [0.0000, 0.0000, 0.0000], [0.5000, 0.5000, 0.5000]], "e_form_raw_ev_per_atom": -1.18, "spacegroup": "R-3m (166)", "n_ef_per_ev_fu": 4.085}

---

{"formula": "HgRu2W", "functional": "PBE-GGA", "state": "relaxed", "cell": [[1.4607, -2.3572, 0.0000], [1.4607, 2.3572, 0.0000], [0.0000, 0.0000, 9.5757]], "species": ["Hg", "Ru", "Ru", "W"], "fractional_positions": [[0.0000, 0.0000, 0.0000], [0.0000, 0.0000, 0.5063], [0.5000, 0.5000, 0.7389], [0.5000, 0.5000, 0.2773]], "spacegroup": "Cmm2 (35)", "relative_energy_ev_per_fu": 1.63, "n_ef_per_ev_fu": 4.680, "formation_enthalpy_0k_ev_per_fu": 2.50}

---

{"formula": "ReRu2Pt", "functional": "PBE-GGA", "state": "relaxed", "cell": [[2.6788, 0.0000, 0.0000], [0.0000, 4.6315, 0.0000], [-0.1095, 0.0000, 4.8051]], "species": ["Re", "Ru", "Ru", "Pt"], "fractional_positions": [[0.0000, 0.0000, 0.0000], [0.2289, 0.5000, 0.7542], [0.7711, 0.5000, 0.2458], [0.5000, 0.0000, 0.5000]], "spacegroup": "P2/m (10)", "relative_energy_ev_per_fu": 1.39, "n_ef_per_ev_fu": 5.067, "formation_enthalpy_0k_ev_per_fu": 1.31}

---

{"formula": "TaAlIn2", "functional": "PBE-GGA", "state": "relaxed", "cell": [[2.9817, 0.0000, 0.0000], [0.0000, 2.9817, 0.0000], [0.0000, 0.0000, 9.2466]], "species": ["Ta", "Al", "In", "In"], "fractional_positions": [[0.0000, 0.0000, 0.0000], [0.0000, 0.0000, 0.5000], [0.5000, 0.5000, 0.2423], [0.5000, 0.5000, 0.7577]], "spacegroup": "P4/mmm (123)", "n_ef_per_ev_fu": 2.618, "formation_enthalpy_0k_ev_per_fu": 1.00}

---

{"formula": "ZnSiPCl2", "functional": "PBE-GGA", "state": "relaxed", "cell": [[4.6368, 0.0000, 0.0000], [0.0000, 4.6368, 0.0000], [0.0000, 0.0000, 4.8757]], "species": ["Zn", "Si", "P", "Cl", "Cl"], "fractional_positions": [[0.0000, 0.0000, 0.0000], [0.5000, 0.5000, 0.5000], [0.5000, 0.5000, 0.0000], [0.0000, 0.5000, 0.5000], [0.5000, 0.0000, 0.5000]], "e_form_raw_ev_per_atom": 0.14, "spacegroup": "P4/mmm (123)", "relative_energy_ev_per_fu": 0.00, "n_ef_per_ev_fu": 2.333}

---

{"formula": "Ba6Pd2IBr3", "functional": "PBE-GGA", "state": "relaxed", "cell": [[10.6138, -2.3207, 0.0000], [10.6138, 2.3207, 0.0000], [-2.6941, 0.0000, 9.8355]], "species": ["Ba", "Ba", "Ba", "Ba", "Ba", "Ba", "Pd", "Pd", "I", "Br", "Br", "Br"], "fractional_positions": [[0.0181, 0.0181, 0.2695], [0.3213, 0.3213, 0.8738], [0.3245, 0.3245, 0.4393], [0.6755, 0.6755, 0.5607], [0.6787, 0.6787, 0.1262], [0.9819, 0.9819, 0.7305], [0.1698, 0.1698, 0.3358], [0.8302, 0.8302, 0.6642], [0.5000, 0.5000, 0.0000], [0.1529, 0.1529, 0.8448], [0.5000, 0.5000, 0.5000], [0.8471, 0.8471, 0.1552]], "e_form_raw_ev_per_atom": -1.23, "spacegroup": "C2/m (12)", "n_ef_per_ev_fu": 5.892}

---

{"formula": "SrHg3N", "functional": "PBE-GGA", "state": "relaxed", "cell": [[6.7045, 0.0000, 0.0000], [0.0000, 6.7045, 0.0000], [0.0000, 0.0000, 6.7045]], "species": ["Sr", "Hg", "Hg", "Hg", "N"], "fractional_positions": [[0.0000, 0.0000, 0.0000], [0.0000, 0.0000, 0.5000], [0.0000, 0.5000, 0.0000], [0.5000, 0.0000, 0.0000], [0.5000, 0.5000, 0.5000]], "e_form_raw_ev_per_atom": 1.10, "spacegroup": "Pm-3m (221)", "relative_energy_ev_per_fu": 3.04, "n_ef_per_ev_fu": 7.167}

---

{"formula": "Ni2TeIr", "functional": "PBE-GGA", "state": "relaxed", "cell": [[-1.9205, 1.9205, 3.8845], [1.9205, -1.9205, 3.8845], [1.9205, 1.9205, -3.8845]], "species": ["Ni", "Ni", "Te", "Ir"], "fractional_positions": [[0.0000, 0.0000, 0.0000], [0.7500, 0.2500, 0.5000], [0.2500, 0.7500, 0.5000], [0.5000, 0.5000, 0.0000]], "e_form_raw_ev_per_atom": 0.17, "spacegroup": "I-4m2 (119)", "relative_energy_ev_per_fu": 0.02, "n_ef_per_ev_fu": 4.258}

---

{"formula": "Mn2AlCr", "functional": "PBE-GGA", "state": "relaxed", "cell": [[2.5528, 0.0000, 0.0000], [0.0000, 3.9772, 0.0000], [-1.0842, 0.0000, 4.6832]], "species": ["Mn", "Mn", "Al", "Cr"], "fractional_positions": [[0.0000, 0.0000, 0.0000], [0.2298, 0.5000, 0.7451], [0.7179, 0.5000, 0.2460], [0.4180, 0.0000, 0.4981]], "spacegroup": "Pm (6)", "n_ef_per_ev_fu": 3.706, "formation_enthalpy_0k_ev_per_fu": -0.20}

---

{"formula": "CuAsRu2", "functional": "PBE-GGA", "state": "relaxed", "cell": [[-1.8519, 1.8519, 8.9026], [1.8519, -1.8519, 8.9026], [1.8519, 1.8519, -8.9026]], "species": ["Cu", "Cu", "As", "As", "Ru", "Ru", "Ru", "Ru"], "fractional_positions": [[0.0000, 0.0000, 0.0000], [0.7500, 0.2500, 0.5000], [0.2500, 0.7500, 0.5000], [0.5000, 0.5000, 0.0000], [0.0976, 0.6250, 0.9726], [0.3750, 0.3476, 0.4726], [0.6524, 0.1250, 0.0274], [0.8750, 0.9024, 0.5274]], "spacegroup": "I-42d (122)", "n_ef_per_ev_fu": 4.978, "formation_enthalpy_0k_ev_per_fu": 1.87}

---

{"formula": "CaBe2RuO", "functional": "PBE-GGA", "state": "relaxed", "cell": [[5.1177, 0.0000, 0.0000], [0.0000, 5.1177, 0.0000], [0.0000, 0.0000, 4.6014]], "species": ["Ca", "Be", "Be", "Ru", "O"], "fractional_positions": [[0.0000, 0.0000, 0.0000], [0.0000, 0.5000, 0.0000], [0.5000, 0.0000, 0.0000], [0.0000, 0.0000, 0.5000], [0.5000, 0.5000, 0.5000]], "e_form_raw_ev_per_atom": 2.48, "spacegroup": "P4/mmm (123)", "n_ef_per_ev_fu": 4.388}

---

{"formula": "YReTc", "functional": "PBE-GGA", "state": "relaxed", "cell": [[-1.5620, 1.5620, 5.8285], [1.5620, -1.5620, 5.8285], [1.5620, 1.5620, -5.8285]], "species": ["Y", "Re", "Tc"], "fractional_positions": [[0.0000, 0.0000, 0.0000], [0.6924, 0.6924, 0.0000], [0.3046, 0.3046, 0.0000]], "spacegroup": "I4mm (107)", "relative_energy_ev_per_fu": 0.73, "n_ef_per_ev_fu": 3.359, "formation_enthalpy_0k_ev_per_fu": 0.23}

---

{"formula": "SmGd3", "functional": "PBE-GGA", "state": "relaxed", "cell": [[0.0000, 4.0436, 4.0436], [4.0436, 0.0000, 4.0436], [4.0436, 4.0436, 0.0000]], "species": ["Sm", "Gd", "Gd", "Gd"], "fractional_positions": [[0.0000, 0.0000, 0.0000], [0.2500, 0.2500, 0.2500], [0.5000, 0.5000, 0.5000], [0.7500, 0.7500, 0.7500]], "spacegroup": "Fm-3m (225)", "relative_energy_ev_per_fu": 0.38, "n_ef_per_ev_fu": 6.792, "formation_enthalpy_0k_ev_per_fu": 0.42}

---

{"formula": "Na3PaTe6Pb2", "functional": "PBE-GGA", "state": "relaxed", "cell": [[3.9787, -6.8980, 0.0000], [3.9787, 6.8980, 0.0000], [-2.6754, 0.0000, 7.4047]], "species": ["Na", "Na", "Na", "Pa", "Te", "Te", "Te", "Te", "Te", "Te", "Pb", "Pb"], "fractional_positions": [[0.0000, 0.0000, 0.0000], [0.3244, 0.6756, 0.0000], [0.6756, 0.3244, 0.0000], [0.5000, 0.5000, 0.5000], [0.1093, 0.4212, 0.2630], [0.2694, 0.2694, 0.7368], [0.4212, 0.1093, 0.2630], [0.5788, 0.8907, 0.7370], [0.7306, 0.7306, 0.2632], [0.8907, 0.5788, 0.7370], [0.1649, 0.8351, 0.5000], [0.8351, 0.1649, 0.5000]], "e_form_raw_ev_per_atom": -0.78, "spacegroup": "C2/m (12)"}